A plane-wave DFT calculation with GGA-PBE was carried out for a relaxed structure of TiCdSn2.

Calculated values
energy of formation: 0.01 eV per atom

```
TiCdSn2
1.0
3.187 0.000 0.000
0.000 5.283 0.000
0.000 0.000 5.283
Sn Cd Ti
2 1 1
Cartesian
0.000 2.642 0.000
0.000 0.000 2.642
1.593 2.642 2.642
1.593 0.000 0.000
```

=====

A plane-wave DFT calculation with GGA-PBE was carried out for a relaxed structure of GdLuPt.

Calculated values
energy of formation: -0.70 eV per atom
energy above the most stable polymorph in this dataset: 181 meV per atom

```
GdLuPt
1.0
4.220 0.000 0.000
0.000 4.593 0.000
0.000 -2.296 3.978
Lu Pt Gd
1 1 1
Cartesian
0.422 0.000 0.000
1.229 0.000 2.652
2.569 2.296 1.326
```

=====

A plane-wave DFT calculation with GGA-PBE was carried out for a relaxed structure of YGaAgSn.

Calculated values
energy of formation: -0.27 eV per atom

```
YGaAgSn
1.0
5.022 0.000 0.000
2.511 4.349 0.000
2.511 1.450 4.100
Ga Ag Sn Y
1 1 1 1
Cartesian
5.022 2.899 2.050
0.000 0.000 0.000
2.511 1.450 1.025
7.533 4.349 3.075
```

=====

A plane-wave DFT calculation with GGA-PBE was carried out for a relaxed structure of VTeP2S.

Calculated values
formation energy from raw total energies: 247 meV/atom
energy above the most stable polymorph in this dataset: 0 meV per atom

```
VTeP2S
1.0
-1.646 4.153 -1.704
-1.652 -2.248 -3.884
-3.772 -0.676 1.996
S V Te P
1 1 1 2
Cartesian
-1.886 -0.338 0.998
0.000 0.000 0.000
-3.535 0.614 -1.796
-0.826 -1.124 -1.942
-0.823 2.077 -0.852
```

=====

A plane-wave DFT calculation with GGA-PBE was carried out for a relaxed structure of SmGa2GeAu.

Calculated values
energy of formation: -0.23 eV per atom

```
SmGa2GeAu
1.0
6.449 0.000 0.000
0.000 6.449 0.000
-3.225 -3.225 5.839
Ga Sm Ge Au
4 2 2 2
Cartesian
0.915 -2.310 5.600
-2.310 -0.915 5.600
-0.915 2.310 5.600
2.310 0.915 5.600
0.000 0.000 2.991
3.225 3.225 2.991
3.225 0.000 3.190
0.000 3.225 3.190
3.225 3.225 0.141
0.000 0.000 0.141
```

=====

A plane-wave DFT calculation with GGA-PBE was carried out for a relaxed structure of LaTm3Th.

Calculated values
energy of formation: 0.17 eV per atom
energy above the most stable polymorph in this dataset: 44 meV per atom

```
LaTm3Th
1.0
-4.947 0.993 -1.549
-3.236 -4.974 -1.844
-3.532 -1.522 10.301
Tm Th La
6 2 2
Cartesian
-6.158 -3.117 -0.315
-3.382 -1.450 0.882
-8.334 -4.053 6.026
-5.558 -2.387 7.223
-2.397 -1.032 6.989
-6.082 0.503 1.763
-5.153 -0.484 -1.837
-3.030 -3.498 -1.555
-7.243 -3.568 2.858
-4.473 -1.935 4.049
```

=====

A plane-wave DFT calculation with GGA-PBE was carried out for a relaxed structure of Ac3Ga4Ni2.

Calculated values
energy of formation: -0.50 eV per atom
energy above the most stable polymorph in this dataset: 0 meV per atom

```
Ac3Ga4Ni2
1.0
4.230 0.000 0.000
-2.115 5.927 -0.902
0.000 -0.082 8.820
Ga Ac Ni
4 3 2
Cartesian
2.115 2.615 0.167
0.000 3.230 7.751
2.115 5.238 4.671
0.000 0.608 3.247
2.115 1.977 5.519
0.000 3.868 2.399
0.000 0.000 0.000
0.000 4.587 5.709
2.115 1.258 2.209
```

=====

A plane-wave DFT calculation with GGA-PBE was carried out for a relaxed structure of NbCoSb3.

Calculated values
formation energy from raw total energies: 711 meV/atom
energy above the most stable polymorph in this dataset: 0 meV per atom

```
NbCoSb3
1.0
4.911 0.000 0.000
0.000 4.911 0.000
0.000 0.000 4.911
Sb Co Nb
3 1 1
Cartesian
2.455 0.000 0.000
0.000 0.000 2.455
0.000 2.455 0.000
0.000 0.000 0.000
2.455 2.455 2.455
```

=====

Number 1: final energy -4.19 eV/atom. Number 2: final energy -8.91 eV/atom. Number 3: final energy -4.36 eV/atom. Number 4: final energy -5.19 eV/atom. Number 5: final energy -3.97 eV/atom. Number 6: final energy -4.98 eV/atom. Number 7: final energy -4.50 eV/atom. Number 8: final energy -5.20 eV/atom.